Material: SiNiSeO2
Method: DFT, PBE with a Hubbard U
State: relaxed

The structure in extended XYZ format:
```
5
Lattice="-2.7218 0.7090 -2.5817 1.3428 -3.6522 -2.4187 -2.4322 -2.1935 1.9618" Properties=species:S:1:pos:R:3 pbc="T T T"
Ni 0.6714 -1.8261 -1.2093
Si -1.9056 -2.5684 -1.5193
O -1.2161 -1.0967 0.9809
O -1.3609 0.3545 -1.2909
Se 0.0000 0.0000 0.0000
```

SG: P4/mmm, No. 123
Calculated total energy (eV per cell): -19.2